# 1
VASP calculation (PBE) on a geometry-optimized LiNdMgOs structure.

a b c (Å): 4.825 4.825 4.825
angles (deg): 60.00 60.00 60.00
Element x y z (fractional)
Os 0.750 0.750 0.750
Nd 0.500 0.500 0.500
Li 0.250 0.250 0.250
Mg 0.000 0.000 0.000

Computed properties:
Energy relative to the elements: 77 meV per atom
DFT total energy: -0.1764 hartree per atom

# 2
VASP calculation (PBE) on a geometry-optimized LiNdMg2Pd4 structure.

a b c (Å): 4.506 4.506 8.606
angles (deg): 74.83 74.83 60.00
Element x y z (fractional)
Pd 0.874 0.874 0.379
Nd 0.000 0.000 0.000
Mg 0.764 0.764 0.709
Mg 0.236 0.236 0.291
Pd 0.126 0.126 0.621
Li 0.500 0.500 0.500
Pd 0.603 0.603 0.190
Pd 0.397 0.397 0.810

Computed properties:
Energy relative to the elements: -654 meV per atom
DFT total energy: -0.1648 hartree per atom